A relaxed structure of Cd2TcMo. Source: Alexandria, functional PBE.

Computed properties:
Energy above the most stable polymorph in this dataset = 302 meV/atom
Density of states at the Fermi level = 2.860 states/eV/cell
Uncorrected energy = -5.269 eV/atom
Density = 9957 kg/m3

a b c (Å): 5.518 5.518 5.518
angles (deg): 144.80 133.27 59.83
Fractional coordinates of all 4 atoms:
1 Cd 0.503 0.503 0.000
2 Cd 0.997 0.997 0.000
3 Mo 0.250 0.750 0.500
4 Tc 0.750 0.250 0.500